SrZn2CuAu4: optimized geometry, PBE.

a = 9.7309 Å, b = 9.7309 Å, c = 9.7309 Å
α = 26.32°, β = 26.32°, γ = 26.32°
With the nearest neighbours (Å) after each atom.
Sites, in units of the cell vectors:
1 Sr 0.0000 0.0000 0.0000  6 Au 3.26
2 Zn 0.2365 0.2365 0.2365  7 Au 2.65-2.84
3 Zn 0.7635 0.7635 0.7635  7 Au 2.65-2.84
4 Cu 0.5000 0.5000 0.5000  8 Au 2.68-2.70
5 Au 0.1358 0.1358 0.1358  3 Cu 2.70, 4 Zn 2.78-2.84
6 Au 0.4050 0.4050 0.4050  3 Zn 2.65, 1 Cu 2.68
7 Au 0.5950 0.5950 0.5950  3 Zn 2.65, 1 Cu 2.68
8 Au 0.8642 0.8642 0.8642  3 Cu 2.70, 4 Zn 2.78-2.84

formation enthalpy at 0 K: -0.327 eV/atom
symmetry: No. 166

---

IrRhAu: optimized geometry, PBE.

a = 4.8979 Å, b = 4.8979 Å, c = 4.8979 Å
α = 146.69°, β = 133.28°, γ = 58.58°
With the nearest neighbours (Å) after each atom.
Sites, in units of the cell vectors:
1 Ir 0.0000 0.0000 0.0000  5 Rh 2.72-2.98, 5 Au 2.78-2.82, 2 Ir 2.81
2 Rh 0.3488 0.3488 0.0000  5 Ir 2.72-2.98, 5 Au 2.78-2.82, 2 Rh 2.81
3 Au 0.6744 0.6744 0.0000  5 Ir 2.78-2.82, 5 Rh 2.78-2.82, 2 Au 2.81

excess energy over the best structure of this formula in the dataset: 11.6 kJ/mol of atoms
formation enthalpy at 0 K: 0.285 eV/atom
symmetry: No. 44

---

CdAgOs2: optimized geometry, PBE.

a = 2.8470 Å, b = 2.8470 Å, c = 8.1942 Å
α = 90.00°, β = 90.00°, γ = 90.00°
With the nearest neighbours (Å) after each atom.
Sites, in units of the cell vectors:
1 Cd 0.0000 0.0000 0.0000  4 Cd 2.85, 4 Os 2.97, 4 Ag 3.02
2 Ag 0.5000 0.5000 0.7252  4 Ag 2.85, 4 Os 2.94, 4 Cd 3.02
3 Os 0.0000 0.0000 0.4634  8 Os 2.58-2.85
4 Os 0.5000 0.5000 0.2664  8 Os 2.58-2.85

formation enthalpy at 0 K: 0.281 eV/atom
symmetry: No. 99

---

Ca3TeMo: optimized geometry, PBE.

a = 5.8501 Å, b = 5.8501 Å, c = 5.8501 Å
α = 90.00°, β = 90.00°, γ = 90.00°
With the nearest neighbours (Å) after each atom.
Sites, in units of the cell vectors:
1 Ca 0.0000 0.0000 0.5000  2 Te 2.93
2 Ca 0.0000 0.5000 0.0000  2 Te 2.93
3 Ca 0.5000 0.0000 0.0000  2 Te 2.93
4 Te 0.0000 0.0000 0.0000  6 Ca 2.93
5 Mo 0.5000 0.5000 0.5000  12 Ca 4.14

excess energy over the best structure of this formula in the dataset: 2.8 kJ/mol of atoms
symmetry: No. 221
E_form (uncorrected): 457 meV per atom

---

ZnMo2P: optimized geometry, PBE.

a = 8.3310 Å, b = 8.3310 Å, c = 8.3310 Å
α = 20.13°, β = 20.13°, γ = 20.13°
With the nearest neighbours (Å) after each atom.
Sites, in units of the cell vectors:
1 Zn 0.0000 0.0000 0.0000  6 Mo 2.79, 6 Zn 2.91
2 Mo 0.2425 0.2425 0.2425  3 P 2.50, 3 Zn 2.79
3 Mo 0.7575 0.7575 0.7575  3 P 2.50, 3 Zn 2.79
4 P 0.5000 0.5000 0.5000  6 Mo 2.50

excess energy over the best structure of this formula in the dataset: 9.4 kJ/mol of atoms
formation enthalpy at 0 K: 0.036 eV/atom
symmetry: No. 166

---

Sr2ReBr: optimized geometry, PBE.

a = 5.4253 Å, b = 5.4253 Å, c = 5.4253 Å
α = 60.00°, β = 60.00°, γ = 60.00°
With the nearest neighbours (Å) after each atom.
Sites, in units of the cell vectors:
1 Sr 0.0000 0.0000 0.0000  4 Re 3.32, 4 Sr 3.32
2 Sr 0.2500 0.2500 0.2500  4 Br 3.32, 4 Sr 3.32
3 Re 0.7500 0.7500 0.7500  4 Br 3.32, 4 Sr 3.32
4 Br 0.5000 0.5000 0.5000  4 Re 3.32, 4 Sr 3.32

excess energy over the best structure of this formula in the dataset: 74.2 kJ/mol of atoms
symmetry: No. 216
E_form (uncorrected): 795 meV per atom

---

NaZrPd2: optimized geometry, PBE.

a = 5.9737 Å, b = 5.9737 Å, c = 5.9737 Å
α = 104.29°, β = 104.29°, γ = 120.43°
With the nearest neighbours (Å) after each atom.
Sites, in units of the cell vectors:
1 Na 0.0000 0.0000 0.0000  4 Pd 2.77, 2 Zr 2.97
2 Na 0.7500 0.2500 0.5000  4 Pd 2.77, 2 Zr 2.97
3 Zr 0.2500 0.7500 0.5000  4 Pd 2.62
4 Zr 0.5000 0.5000 0.0000  4 Pd 2.62
5 Pd 0.1395 0.6250 0.0145  2 Zr 2.62, 2 Na 2.77
6 Pd 0.3750 0.3895 0.5145  2 Zr 2.62, 2 Na 2.77
7 Pd 0.6105 0.1250 0.9855  2 Zr 2.62, 2 Na 2.77
8 Pd 0.8750 0.8605 0.4855  2 Zr 2.62, 2 Na 2.77

excess energy over the best structure of this formula in the dataset: 40.0 kJ/mol of atoms
formation enthalpy at 0 K: -0.033 eV/atom
symmetry: No. 122

---

LaY3Fe: optimized geometry, PBE.

a = 5.5250 Å, b = 5.5250 Å, c = 5.5250 Å
α = 90.00°, β = 90.00°, γ = 90.00°
With the nearest neighbours (Å) after each atom.
Sites, in units of the cell vectors:
1 La 0.0000 0.0000 0.0000  6 Y 2.76
2 Y 0.0000 0.0000 0.5000  2 La 2.76
3 Y 0.0000 0.5000 0.0000  2 La 2.76
4 Y 0.5000 0.0000 0.0000  2 La 2.76
5 Fe 0.5000 0.5000 0.5000  12 Y 3.91

excess energy over the best structure of this formula in the dataset: 119.2 kJ/mol of atoms
formation enthalpy at 0 K: 1.327 eV/atom
symmetry: No. 221

---

Tb3YIr: optimized geometry, PBE.

a = 7.6448 Å, b = 6.5524 Å, c = 6.2111 Å
α = 90.00°, β = 90.00°, γ = 90.00°
With the nearest neighbours (Å) after each atom.
Sites, in units of the cell vectors:
1 Tb 0.0000 0.1522 0.0000  1 Ir 2.77
2 Tb 0.2499 0.3143 0.5033  2 Ir 2.75
3 Tb 0.2501 0.6857 0.0033  2 Ir 2.75
4 Tb 0.5000 0.8478 0.5000  1 Ir 2.77
5 Tb 0.7501 0.3143 0.5033  2 Ir 2.75
6 Tb 0.7499 0.6857 0.0033  2 Ir 2.75
7 Y 0.0000 0.8469 0.5079  1 Ir 2.77
8 Y 0.5000 0.1531 0.0079  1 Ir 2.77
9 Ir 0.0000 0.4997 0.2527  5 Tb 2.75-2.77, 1 Y 2.77
10 Ir 0.5000 0.5003 0.7527  5 Tb 2.75-2.77, 1 Y 2.77

excess energy over the best structure of this formula in the dataset: 0.0 kJ/mol of atoms
formation enthalpy at 0 K: -0.325 eV/atom
symmetry: No. 31

---

PrPuSbPd: optimized geometry, PBE.

a = 5.2864 Å, b = 5.2864 Å, c = 5.2864 Å
α = 60.00°, β = 60.00°, γ = 60.00°
With the nearest neighbours (Å) after each atom.
Sites, in units of the cell vectors:
1 Pr 0.0000 0.0000 0.0000  4 Sb 3.24, 4 Pd 3.24
2 Pu 0.5000 0.5000 0.5000  4 Sb 3.24, 4 Pd 3.24
3 Sb 0.7500 0.7500 0.7500  4 Pu 3.24, 4 Pr 3.24
4 Pd 0.2500 0.2500 0.2500  4 Pu 3.24, 4 Pr 3.24

symmetry: No. 216
E_form (uncorrected): -602 meV per atom

---

Bi2PdSe2: optimized geometry, PBE.

a = 6.7116 Å, b = 6.7116 Å, c = 5.8871 Å
α = 90.00°, β = 90.00°, γ = 90.00°
With the nearest neighbours (Å) after each atom.
Sites, in units of the cell vectors:
1 Bi 0.2100 0.2900 0.0000  2 Se 2.98
2 Bi 0.2900 0.7900 0.0000  2 Se 2.98
3 Bi 0.7100 0.2100 0.0000  2 Se 2.98
4 Bi 0.7900 0.7100 0.0000  2 Se 2.98
5 Pd 0.0000 0.0000 0.5000  4 Se 2.51
6 Pd 0.5000 0.5000 0.5000  4 Se 2.51
7 Se 0.1624 0.3376 0.5000  2 Pd 2.51
8 Se 0.3376 0.8376 0.5000  2 Pd 2.51
9 Se 0.6624 0.1624 0.5000  2 Pd 2.51
10 Se 0.8376 0.6624 0.5000  2 Pd 2.51

symmetry: No. 127
E_form (uncorrected): -88 meV per atom

---

KP2W: optimized geometry, PBE.

a = 5.1566 Å, b = 5.1566 Å, c = 2.6734 Å
α = 90.00°, β = 90.00°, γ = 90.00°
With the nearest neighbours (Å) after each atom.
Sites, in units of the cell vectors:
1 K 0.0000 0.0000 0.0000  2 K 2.67, 8 P 2.90
2 P 0.0000 0.5000 0.5000  2 P 2.67, 4 W 2.90, 4 K 2.90
3 P 0.5000 0.0000 0.5000  2 P 2.67, 4 W 2.90, 4 K 2.90
4 W 0.5000 0.5000 0.0000  2 W 2.67, 8 P 2.90

excess energy over the best structure of this formula in the dataset: 101.8 kJ/mol of atoms
formation enthalpy at 0 K: 0.852 eV/atom
symmetry: No. 123

---

RbNaMg2Rh: optimized geometry, PBE.

a = 5.3976 Å, b = 5.3976 Å, c = 5.6403 Å
α = 90.00°, β = 90.00°, γ = 90.00°
With the nearest neighbours (Å) after each atom.
Sites, in units of the cell vectors:
1 Rb 0.0000 0.0000 0.0000  2 Na 2.82
2 Na 0.0000 0.0000 0.5000  4 Mg 2.70, 2 Rb 2.82
3 Mg 0.0000 0.5000 0.5000  2 Na 2.70
4 Mg 0.5000 0.0000 0.5000  2 Na 2.70
5 Rh 0.5000 0.5000 0.0000  4 Rb 3.82, 8 Mg 3.90

formation enthalpy at 0 K: 1.142 eV/atom
symmetry: No. 123

---

LiHoNiGe2: optimized geometry, PBE.

a = 5.8976 Å, b = 5.8976 Å, c = 5.8976 Å
α = 140.21°, β = 140.21°, γ = 57.53°
With the nearest neighbours (Å) after each atom.
Sites, in units of the cell vectors:
1 Li 0.0000 0.0000 0.0000  4 Ge 2.41
2 Ho 0.2500 0.7500 0.5000  8 Ge 3.10, 4 Li 3.27, 4 Ni 3.27
3 Ni 0.5000 0.5000 0.0000  4 Ge 2.41
4 Ge 0.6294 0.1294 0.5000  2 Li 2.41, 2 Ni 2.41, 1 Ge 2.49
5 Ge 0.8706 0.3706 0.5000  2 Li 2.41, 2 Ni 2.41, 1 Ge 2.49

formation enthalpy at 0 K: -0.618 eV/atom
symmetry: No. 119

---

Mg2AlAg3: optimized geometry, PBE.

a = 5.2939 Å, b = 5.2939 Å, c = 8.9886 Å
α = 90.00°, β = 90.00°, γ = 59.81°
With the nearest neighbours (Å) after each atom.
Sites, in units of the cell vectors:
1 Mg 0.0019 0.3330 0.2500  6 Ag 2.86-2.88, 3 Mg 3.04-3.07, 3 Al 3.05-3.06
2 Mg 0.3330 0.0019 0.7500  6 Ag 2.86-2.88, 3 Mg 3.04-3.07, 3 Al 3.05-3.06
3 Mg 0.6670 0.9981 0.2500  6 Ag 2.86-2.88, 3 Mg 3.04-3.07, 3 Al 3.05-3.06
4 Mg 0.9981 0.6670 0.7500  6 Ag 2.86-2.88, 3 Mg 3.04-3.07, 3 Al 3.05-3.06
5 Al 0.3335 0.6665 0.2500  6 Ag 2.83-2.85, 6 Mg 3.05-3.06
6 Al 0.6665 0.3335 0.7500  6 Ag 2.83-2.85, 6 Mg 3.05-3.06
7 Ag 0.0000 0.0000 0.0000  2 Al 2.85, 4 Mg 2.86, 6 Ag 3.03-3.11
8 Ag 0.0000 0.0000 0.5000  2 Al 2.85, 4 Mg 2.86, 6 Ag 3.03-3.11
9 Ag 0.3389 0.3389 0.0000  2 Al 2.83, 4 Mg 2.86-2.88, 6 Ag 2.96-3.11
10 Ag 0.3389 0.3389 0.5000  2 Al 2.83, 4 Mg 2.86-2.88, 6 Ag 2.96-3.11
11 Ag 0.6611 0.6611 0.0000  2 Al 2.83, 4 Mg 2.86-2.88, 6 Ag 2.96-3.11
12 Ag 0.6611 0.6611 0.5000  2 Al 2.83, 4 Mg 2.86-2.88, 6 Ag 2.96-3.11

excess energy over the best structure of this formula in the dataset: 5.4 kJ/mol of atoms
formation enthalpy at 0 K: -0.136 eV/atom
symmetry: No. 63

---

Sr2Tl2Pb: optimized geometry, PBE.

a = 6.7698 Å, b = 6.7698 Å, c = 12.7637 Å
α = 115.85°, β = 115.85°, γ = 43.27°
With the nearest neighbours (Å) after each atom.
Sites, in units of the cell vectors:
1 Sr 0.0195 0.0195 0.3221  5 Tl 3.45-3.75, 3 Pb 3.52-3.74
2 Sr 0.1885 0.1885 0.1031  5 Tl 3.46-3.78, 2 Pb 3.46
3 Sr 0.8115 0.8115 0.8969  5 Tl 3.46-3.78, 2 Pb 3.46
4 Sr 0.9805 0.9805 0.6779  5 Tl 3.45-3.75, 3 Pb 3.52-3.74
5 Tl 0.3563 0.3563 0.4689  2 Pb 3.14, 1 Tl 3.32, 2 Sr 3.45
6 Tl 0.4639 0.4639 0.1045  1 Pb 3.16, 1 Tl 3.20, 3 Sr 3.46-3.49
7 Tl 0.5361 0.5361 0.8955  1 Pb 3.16, 1 Tl 3.20, 3 Sr 3.46-3.49
8 Tl 0.6437 0.6437 0.5311  2 Pb 3.14, 1 Tl 3.32, 2 Sr 3.45
9 Pb 0.2667 0.2667 0.6927  3 Tl 3.14-3.16, 3 Sr 3.46-3.52
10 Pb 0.7333 0.7333 0.3073  3 Tl 3.14-3.16, 3 Sr 3.46-3.52

excess energy over the best structure of this formula in the dataset: 0.0 kJ/mol of atoms
formation enthalpy at 0 K: -0.380 eV/atom
symmetry: No. 12

---

Pu2NiAg3S6: optimized geometry, PBE.

a = 6.7187 Å, b = 6.7187 Å, c = 6.4626 Å
α = 95.70°, β = 95.70°, γ = 121.07°
With the nearest neighbours (Å) after each atom.
Sites, in units of the cell vectors:
1 Pu 0.1643 0.8357 0.0000  6 S 2.67-2.74
2 Pu 0.8357 0.1643 0.0000  6 S 2.67-2.74
3 Ni 0.5000 0.5000 0.0000  6 S 2.51
4 Ag 0.0000 0.0000 0.5000  2 S 2.57
5 Ag 0.2725 0.7275 0.5000  4 S 2.56-2.77
6 Ag 0.7275 0.2725 0.5000  4 S 2.56-2.77
7 S 0.1492 0.4585 0.7765  1 Ni 2.51, 2 Ag 2.56-2.77, 2 Pu 2.70-2.74
8 S 0.2275 0.2275 0.2210  1 Ni 2.51, 1 Ag 2.57, 2 Pu 2.67
9 S 0.4585 0.1492 0.7765  1 Ni 2.51, 2 Ag 2.56-2.77, 2 Pu 2.70-2.74
10 S 0.5415 0.8508 0.2235  1 Ni 2.51, 2 Ag 2.56-2.77, 2 Pu 2.70-2.74
11 S 0.7725 0.7725 0.7790  1 Ni 2.51, 1 Ag 2.57, 2 Pu 2.67
12 S 0.8508 0.5415 0.2235  1 Ni 2.51, 2 Ag 2.56-2.77, 2 Pu 2.70-2.74

symmetry: No. 12
E_form (uncorrected): -696 meV per atom

---

VInGaAs2: optimized geometry, PBE.

a = 5.1892 Å, b = 5.1892 Å, c = 5.1500 Å
α = 90.00°, β = 90.00°, γ = 90.00°
With the nearest neighbours (Å) after each atom.
Sites, in units of the cell vectors:
1 V 0.0000 0.0000 0.0000  2 In 2.58
2 In 0.0000 0.0000 0.5000  2 V 2.58, 4 As 2.59
3 Ga 0.5000 0.5000 0.0000  8 As 3.66, 4 V 3.67
4 As 0.0000 0.5000 0.5000  2 In 2.59
5 As 0.5000 0.0000 0.5000  2 In 2.59

formation enthalpy at 0 K: 1.311 eV/atom
symmetry: No. 123

---

Ca3BiCl: optimized geometry, PBE.

a = 5.3746 Å, b = 5.3746 Å, c = 5.3746 Å
α = 90.00°, β = 90.00°, γ = 90.00°
With the nearest neighbours (Å) after each atom.
Sites, in units of the cell vectors:
1 Ca 0.0000 0.0000 0.5000  2 Cl 2.69
2 Ca 0.0000 0.5000 0.0000  2 Cl 2.69
3 Ca 0.5000 0.0000 0.0000  2 Cl 2.69
4 Bi 0.5000 0.5000 0.5000  12 Ca 3.80
5 Cl 0.0000 0.0000 0.0000  6 Ca 2.69

excess energy over the best structure of this formula in the dataset: 0.0 kJ/mol of atoms
symmetry: No. 221
E_form (uncorrected): -747 meV per atom

---

Rb2TmSnS5: optimized geometry, PBE.

a = 10.0060 Å, b = 10.0060 Å, c = 14.5546 Å
α = 90.00°, β = 90.00°, γ = 157.17°
With the nearest neighbours (Å) after each atom.
Sites, in units of the cell vectors:
1 Rb 0.1224 0.8776 0.5000  5 S 3.35-3.51
2 Rb 0.1426 0.8574 0.1340  7 S 3.40-3.64
3 Rb 0.8574 0.1426 0.6340  7 S 3.40-3.64
4 Rb 0.8776 0.1224 0.0000  5 S 3.35-3.51
5 Tm 0.2032 0.7968 0.8423  5 S 2.57-2.83
6 Tm 0.7968 0.2032 0.3423  5 S 2.57-2.83
7 Sn 0.4416 0.5584 0.2382  4 S 2.33-2.52
8 Sn 0.5584 0.4416 0.7382  4 S 2.33-2.52
9 S 0.0495 0.9505 0.8445  2 Sn 2.52
10 S 0.2991 0.7009 0.4606  2 Tm 2.62
11 S 0.3200 0.6800 0.2069  1 Sn 2.43
12 S 0.3336 0.6664 0.8240  1 Tm 2.57
13 S 0.4963 0.5037 0.6021  1 Sn 2.33
14 S 0.5037 0.4963 0.1021  1 Sn 2.33
15 S 0.6664 0.3336 0.3240  1 Tm 2.57
16 S 0.6800 0.3200 0.7069  1 Sn 2.43
17 S 0.7009 0.2991 0.9606  2 Tm 2.62
18 S 0.9505 0.0495 0.3445  2 Sn 2.52

symmetry: No. 36
E_form (uncorrected): -1039 meV per atom

---

Number 1: raw total energy -3.007 eV per atom. Number 2: raw total energy -6.212 eV per atom. Number 3: raw total energy -6.275 eV per atom. Number 4: raw total energy -3.539 eV per atom. Number 5: raw total energy -7.050 eV per atom. Number 6: raw total energy -3.576 eV per atom. Number 7: raw total energy -5.096 eV per atom. Number 8: raw total energy -5.229 eV per atom. Number 9: raw total energy -6.168 eV per atom. Number 10: raw total energy -7.709 eV per atom. Number 11: raw total energy -4.073 eV per atom. Number 12: raw total energy -5.366 eV per atom. Number 13: raw total energy -1.423 eV per atom. Number 14: raw total energy -4.920 eV per atom. Number 15: raw total energy -2.717 eV per atom. Number 16: raw total energy -2.741 eV per atom. Number 17: raw total energy -6.342 eV per atom. Number 18: raw total energy -3.525 eV per atom. Number 19: raw total energy -3.093 eV per atom. Number 20: raw total energy -4.489 eV per atom.